Record 1
The following is a PBE calculation of an optimized crystal structure of SrBeB2O5, from Alexandria via LeMat-Bulk.

Unit cell a=5.2687 b=3.9138 c=17.8320 alpha=90.00 beta=99.31 gamma=90.00
With the nearest neighbours (Å) after each atom.
Fractional coordinates of all 36 atoms:
1 Sr 0.2163 0.1270 0.4262  7 O 2.51-2.72
2 Sr 0.2163 0.3730 0.9262  7 O 2.51-2.72
3 Sr 0.7837 0.6270 0.0738  7 O 2.51-2.72
4 Sr 0.7837 0.8730 0.5738  7 O 2.51-2.72
5 Be 0.1085 0.2369 0.2138  4 O 1.62-1.67
6 Be 0.1085 0.2631 0.7138  4 O 1.62-1.67
7 Be 0.8915 0.7369 0.2862  4 O 1.62-1.67
8 Be 0.8915 0.7631 0.7862  4 O 1.62-1.67
9 B 0.2984 0.5031 0.5990  3 O 1.37-1.41
10 B 0.2984 0.9969 0.0990  3 O 1.37-1.41
11 B 0.4025 0.7481 0.7851  4 O 1.47-1.51
12 B 0.4025 0.7519 0.2851  4 O 1.47-1.51
13 B 0.5975 0.2481 0.7149  4 O 1.47-1.51
14 B 0.5975 0.2519 0.2149  4 O 1.47-1.51
15 B 0.7016 0.0031 0.9010  3 O 1.37-1.41
16 B 0.7016 0.4969 0.4010  3 O 1.37-1.41
17 O 0.0820 0.0986 0.1272  1 B 1.38
18 O 0.0820 0.4014 0.6272  1 B 1.38
19 O 0.1584 0.5611 0.7787  1 B 1.47, 2 Be 1.63-1.64
20 O 0.1584 0.9389 0.2787  1 B 1.47, 2 Be 1.63-1.64
21 O 0.2844 0.7052 0.5359  1 B 1.37
22 O 0.2844 0.7948 0.0359  1 B 1.37
23 O 0.3754 0.0269 0.7269  2 B 1.50, 1 Be 1.67
24 O 0.3754 0.4731 0.2269  2 B 1.50, 1 Be 1.67
25 O 0.4580 0.6080 0.3643  2 B 1.41-1.51
26 O 0.4580 0.8920 0.8643  2 B 1.41-1.51
27 O 0.5420 0.1080 0.1357  2 B 1.41-1.51
28 O 0.5420 0.3920 0.6357  2 B 1.41-1.51
29 O 0.6246 0.5269 0.7731  2 B 1.50, 1 Be 1.67
30 O 0.6246 0.9731 0.2731  2 B 1.50, 1 Be 1.67
31 O 0.7156 0.2052 0.9641  1 B 1.37
32 O 0.7156 0.2948 0.4641  1 B 1.37
33 O 0.8416 0.0611 0.7213  1 B 1.47, 2 Be 1.63-1.64
34 O 0.8416 0.4389 0.2213  1 B 1.47, 2 Be 1.63-1.64
35 O 0.9180 0.5986 0.3728  1 B 1.38
36 O 0.9180 0.9014 0.8728  1 B 1.38

Total energy   -68.225 eV/f.u.
Total magnetization   0.0 Bohr magnetons per cell
ΔE_f (raw)   -2.74 eV/atom
Calculated volume   362.9 Å³ per cell
SG   P2_1/c (14)

***

Record 2
The following is a PBE calculation of an optimized crystal structure of SmY2Mg, from Alexandria via LeMat-Bulk.

Unit cell a=12.4990 b=12.4990 c=12.4990 alpha=16.00 beta=16.00 gamma=16.00
With the nearest neighbours (Å) after each atom.
Fractional coordinates of all 4 atoms:
1 Sm 0.0000 0.0000 0.0000  6 Sm 3.48, 6 Y 3.52
2 Y 0.4114 0.4114 0.4114  1 Mg 3.28, 6 Y 3.48, 3 Sm 3.52
3 Y 0.5886 0.5886 0.5886  1 Mg 3.28, 6 Y 3.48, 3 Sm 3.52
4 Mg 0.5000 0.5000 0.5000  2 Y 3.28, 6 Mg 3.48

Total energy   -18.395 eV/f.u.
Formation energy from the elements   0.2116 eV/atom
Total magnetization   0.0 Bohr magnetons per cell
Relative energy among the computed polymorphs   0.251 eV per atom
Calculated volume   129.3 Å³ per cell
SG   R-3m (166)